DFT (PBE) results for an optimized crystal structure of Cd2ReOs.

a b c (Å): 9.7904 9.7904 9.7904
angles (deg): 16.71 16.71 16.71
Fractional positions:
Re  0.7500  0.7500  0.7500
Os  0.2500  0.2500  0.2500
Cd  0.9992  0.9992  0.9992
Cd  0.5008  0.5008  0.5008

Calculated values
**Energy of formation**: 0.6790 eV per atom
**Size of the total moment**: 0.0 μB/f.u.
**Uncorrected energy**: -5.698 eV/atom
**N(E_F)**: 3.91 states/eV/cell